1.
A plane-wave DFT calculation with PBE was carried out for crystalline Ba2CuPd at its relaxed geometry.

* calculated total energy: -3.2688 eV/atom
* density: 5.14 g cm⁻³
* space-group type: No. 122
* M_tot: 0.00 μB per atom

Unit cell a=7.201 b=7.201 c=7.201 alpha=108.32 beta=108.32 gamma=111.79
Fractional positions:
Ba: 0.116 0.625 0.991
Ba: 0.375 0.366 0.491
Ba: 0.634 0.125 0.009
Ba: 0.875 0.884 0.509
Cu: 0.250 0.750 0.500
Cu: 0.500 0.500 0.000
Pd: 0.000 0.000 0.000
Pd: 0.750 0.250 0.500


2.
A plane-wave DFT calculation with PBE was carried out for crystalline Ba4CuPd3 at its relaxed geometry.

* calculated total energy: -3.8404 eV/atom
* density: 6.03 g cm⁻³
* space-group type: No. 25
* M_tot: 0.00 μB per atom

Unit cell a=4.519 b=4.708 c=12.071 alpha=90.00 beta=90.00 gamma=90.00
Fractional positions:
Ba: 0.000 0.000 0.000
Ba: 0.000 0.500 0.269
Ba: 0.500 0.000 0.490
Ba: 0.500 0.500 0.771
Cu: 0.000 0.000 0.686
Pd: 0.000 0.500 0.577
Pd: 0.500 0.000 0.206
Pd: 0.500 0.500 0.061


3.
A plane-wave DFT calculation with PBE was carried out for crystalline Ba2Cu2Pd at its relaxed geometry.

* density: 6.21 g cm⁻³
* space-group type: No. 127
* M_tot: 0.00 μB per atom
* E above lowest polymorph: 0.757 eV per formula unit

Unit cell a=7.796 b=7.796 c=4.470 alpha=90.00 beta=90.00 gamma=90.00
Fractional positions:
Ba: 0.188 0.312 0.000
Ba: 0.312 0.812 0.000
Ba: 0.688 0.188 0.000
Ba: 0.812 0.688 0.000
Cu: 0.112 0.612 0.500
Cu: 0.388 0.112 0.500
Cu: 0.612 0.888 0.500
Cu: 0.888 0.388 0.500
Pd: 0.000 0.000 0.500
Pd: 0.500 0.500 0.500